Record 1
This record from the Alexandria database describes a relaxed structure of Pr2Bi2Pd15. The functional is GGA-PBE.

```
19
Lattice="-7.009 -0.681 1.164 -1.336 -4.919 -4.997 0.275 -5.756 4.212" Properties=species:S:1:pos:R:3 pbc="T T T"
Pd -0.668 -2.459 -2.498
Pd -4.615 -2.349 2.166
Pd -2.618 -6.684 2.186
Pd -6.176 -4.206 0.698
Pd -3.200 -3.526 -2.972
Pd -5.452 -4.671 -1.807
Pd -3.405 -6.275 -2.311
Pd -1.894 -7.150 -0.319
Pd 0.138 -2.878 2.106
Pd -3.504 -0.341 0.582
Pd -4.665 -5.080 2.690
Pd -0.807 -5.194 -1.971
Pd -0.254 -5.481 1.186
Pd -2.119 -4.088 3.210
Pd -5.145 -2.074 -0.860
Bi -7.211 -10.147 0.339
Bi -0.859 -1.208 0.040
Pr -2.872 -4.041 0.135
Pr -5.198 -7.315 0.244
```

total magnetization: 0.00 μB/cell
formation enthalpy at 0 K: -0.36 eV per atom
final energy: -102.089 eV per cell
volume: 18.65 Å³/atom

Record 2
This record from the Alexandria database describes a relaxed structure of PrBi2Pd9. The functional is GGA-PBE.

```
12
Lattice="-3.749 -1.629 0.868 1.835 -3.498 1.362 0.581 4.768 11.463" Properties=species:S:1:pos:R:3 pbc="T T T"
Pd 1.398 2.197 10.169
Pd -0.957 -2.563 1.115
Pd -1.394 3.132 9.921
Pd 1.018 -0.927 2.656
Pd -0.760 -0.947 5.001
Pd 1.208 0.635 6.412
Pd -1.774 0.007 2.409
Pd -1.584 1.569 6.165
Pd -0.573 0.588 8.691
Pr 0.000 0.000 0.000
Bi 0.387 3.175 7.632
Bi 0.194 1.593 3.831
```

total magnetization: 0.00 μB/cell
formation enthalpy at 0 K: -0.40 eV per atom
final energy: -64.098 eV per cell
volume: 18.08 Å³/atom

Record 3
This record from the Alexandria database describes a relaxed structure of Pr3Bi2Pd7. The functional is GGA-PBE.

```
12
Lattice="4.209 0.000 0.000 0.000 4.209 0.000 -2.104 -2.104 15.085" Properties=species:S:1:pos:R:3 pbc="T T T"
Pd 0.000 2.104 12.951
Pd 0.000 2.104 2.133
Pd 2.104 0.000 12.951
Pd 2.104 2.104 8.292
Pd 2.104 0.000 2.133
Pd 0.000 0.000 0.000
Pd 0.000 0.000 6.793
Bi 2.104 2.104 11.201
Bi 0.000 0.000 3.884
Pr 2.104 2.104 5.424
Pr 2.104 2.104 0.000
Pr 0.000 0.000 9.661
```

total magnetization: 0.00 μB/cell
formation enthalpy at 0 K: -0.57 eV per atom
final energy: -65.297 eV per cell
volume: 22.27 Å³/atom

Record 4
This record from the Alexandria database describes a relaxed structure of Pr4BiPd. The functional is GGA-PBE.

```
12
Lattice="-4.145 -0.625 4.403 7.535 -3.303 2.988 0.134 8.537 -1.041" Properties=species:S:1:pos:R:3 pbc="T T T"
Pr -2.038 2.584 2.713
Pr 3.723 4.906 2.321
Pr 5.562 2.027 3.636
Pr -0.199 -0.295 4.028
Pr 2.089 -1.887 6.395
Pr 1.362 2.122 1.514
Pr 1.435 6.497 -0.045
Pr 2.162 2.488 4.835
Pd -1.030 -0.133 1.110
Pd 4.554 4.743 5.239
Bi 0.366 4.882 3.135
Bi 3.159 -0.271 3.215
```

total magnetization: 0.00 μB/cell
formation enthalpy at 0 K: -0.49 eV per atom
final energy: -62.319 eV per cell
volume: 30.96 Å³/atom

Record 5
This record from the Alexandria database describes a relaxed structure of PrBi2Pd5. The functional is GGA-PBE.

```
8
Lattice="-2.835 0.346 3.230 4.046 0.990 6.323 2.028 6.097 4.005" Properties=species:S:1:pos:R:3 pbc="T T T"
Pd 3.037 3.544 5.164
Pd 0.181 4.190 5.467
Pd 3.057 3.243 8.092
Pd 1.132 1.786 6.558
Pd 2.107 5.648 7.001
Bi 1.086 2.068 3.610
Bi 2.152 5.365 9.949
Pr 0.000 0.000 0.000
```

total magnetization: 0.00 μB/cell
formation enthalpy at 0 K: -0.47 eV per atom
final energy: -42.245 eV per cell
volume: 21.26 Å³/atom

Record 6
This record from the Alexandria database describes a relaxed structure of Pr8Bi2Pd3. The functional is GGA-PBE.

```
13
Lattice="-6.927 1.914 0.643 -2.166 -8.067 0.677 4.087 3.873 7.356" Properties=species:S:1:pos:R:3 pbc="T T T"
Pr -3.767 -5.294 2.403
Pr 1.572 0.111 6.346
Pr -1.238 3.014 6.273
Pr 0.632 -3.972 6.554
Pr -5.638 1.692 2.123
Pr -2.695 -1.300 2.068
Pr -6.578 -2.391 2.330
Pr -2.311 -0.980 6.609
Pd -0.546 -2.035 0.171
Pd -1.619 -6.031 0.507
Pd -3.464 0.957 0.322
Bi -4.226 -2.831 4.606
Bi -0.780 0.551 4.070
```

total magnetization: 0.00 μB/cell
formation enthalpy at 0 K: -0.45 eV per atom
final energy: -67.367 eV per cell
volume: 36.98 Å³/atom

Record 7
This record from the Alexandria database describes a relaxed structure of Pr4BiPd2. The functional is GGA-PBE.

```
14
Lattice="-7.978 -1.780 2.027 4.329 -6.945 -1.988 3.692 3.612 6.675" Properties=species:S:1:pos:R:3 pbc="T T T"
Pr -2.198 -3.314 5.212
Pr -3.237 0.511 5.932
Pr -3.213 -5.469 1.603
Pr 1.010 1.298 5.842
Pr 2.049 -2.529 5.124
Pr -1.668 -0.159 2.777
Pr -5.119 -2.100 3.522
Pr 0.238 -3.528 0.859
Pd -0.276 -6.287 1.197
Pd 3.395 -0.118 4.514
Pd -2.441 -2.814 2.190
Pd -0.594 -1.008 5.527
Bi 3.691 3.610 6.675
Bi 3.099 -3.847 2.353
```

total magnetization: 0.00 μB/cell
formation enthalpy at 0 K: -0.55 eV per atom
final energy: -74.411 eV per cell
volume: 32.91 Å³/atom

Record 8
This record from the Alexandria database describes a relaxed structure of Pr2BiPd2. The functional is GGA-PBE.

```
10
Lattice="-1.678 0.633 -3.523 6.110 -3.725 -3.580 -3.893 -6.965 0.602" Properties=species:S:1:pos:R:3 pbc="T T T"
Pd 3.326 -3.169 -2.154
Pd -1.109 -7.520 -0.824
Pd 2.940 -7.603 -2.768
Pd -0.723 -3.086 -0.210
Pr 0.464 -2.113 -2.819
Pr 0.075 -7.943 -3.682
Pr -2.397 -5.038 -1.982
Pr 2.936 -5.018 -4.519
Bi 0.000 0.000 0.000
Bi 1.109 -5.345 -1.489
```

total magnetization: 0.00 μB/cell
formation enthalpy at 0 K: -0.84 eV per atom
final energy: -56.006 eV per cell
volume: 25.31 Å³/atom